A geometry-optimized InReAs structure, computed with PBE.

abc: 8.1700 7.9329 2.9519
angles: 84.00 74.94 21.06
Atoms (fractional coordinates):
1 In 0.3152 0.3152 0.6848
2 Re 0.6536 0.6536 0.3464
3 As 0.0312 0.0312 0.9688

Results
**E_form**: 0.5070 eV per atom
**Symmetry**: Fmm2
**Energy above the lowest structure with this stoichiometry**: 0.88 eV per formula unit